A plane-wave DFT calculation with PBE-GGA was carried out for crystalline IrSe at its relaxed geometry.

```
data_IrSe
_chemical_formula_sum 'Ir2 Se2'
_space_group_name_H-M_alt 'C m m m'
_space_group_IT_number 65
_space_group_name_Hall '-C 2 2'
_cell_length_a 2.863
_cell_length_b 5.002
_cell_length_c 4.557
_cell_angle_alpha 90.00
_cell_angle_beta 90.00
_cell_angle_gamma 90.00
loop_
_atom_site_label
_atom_site_fract_x
_atom_site_fract_y
_atom_site_fract_z
Ir1 0.000 0.000 0.000
Se1 0.000 0.500 0.500
```

Results
Formation energy from raw total energies, eV per atom: 0.653

=====

A plane-wave DFT calculation with PBE-GGA was carried out for crystalline IrSe at its relaxed geometry.

```
data_IrSe
_chemical_formula_sum 'Ir8 Se8'
_space_group_name_H-M_alt 'P 21 21 21'
_space_group_IT_number 19
_cell_length_a 6.250
_cell_length_b 6.830
_cell_length_c 7.475
_cell_angle_alpha 90.00
_cell_angle_beta 90.00
_cell_angle_gamma 90.00
loop_
_space_group_symop_operation_xyz
'x,y,z'
'-x+1/2,-y,z+1/2'
'x+1/2,-y+1/2,-z'
'-x,y+1/2,-z+1/2'
loop_
_atom_site_label
_atom_site_fract_x
_atom_site_fract_y
_atom_site_fract_z
Ir1 0.013 0.157 0.366
Ir2 0.180 0.548 0.801
Se1 0.079 0.879 0.890
Se2 0.094 0.320 0.067
```

Results
Formation energy from raw total energies, eV per atom: 0.181

=====

A plane-wave DFT calculation with PBE-GGA was carried out for crystalline Ir4Se3 at its relaxed geometry.

```
data_Ir4Se3
_chemical_formula_sum 'Ir4 Se3'
_space_group_name_H-M_alt 'P 6/m m m'
_space_group_IT_number 191
_space_group_name_Hall '-P 6 2'
_cell_length_a 5.0933
_cell_length_b 5.0933
_cell_length_c 5.2055
_cell_angle_alpha 90.00
_cell_angle_beta 90.00
_cell_angle_gamma 120.00
loop_
_atom_site_label
_atom_site_fract_x
_atom_site_fract_y
_atom_site_fract_z
Ir1 0.0000 0.0000 0.2358
Ir2 0.3333 0.6667 0.0000
Se1 0.0000 0.5000 0.5000
```

Results
Formation energy from raw total energies, eV per atom: 1.310
E above lowest polymorph, eV/atom: 0.887

=====

A plane-wave DFT calculation with PBE-GGA was carried out for crystalline IrSe at its relaxed geometry.

```
data_IrSe
_chemical_formula_sum 'Ir6 Se6'
_space_group_name_H-M_alt 'C 1 m 1'
_space_group_IT_number 8
_cell_length_a 11.538
_cell_length_b 3.569
_cell_length_c 5.700
_cell_angle_alpha 90.00
_cell_angle_beta 105.11
_cell_angle_gamma 90.00
loop_
_space_group_symop_operation_xyz
'x,y,z'
'x,-y,z'
'x+1/2,y+1/2,z'
'x+1/2,-y+1/2,z'
loop_
_atom_site_label
_atom_site_fract_x
_atom_site_fract_y
_atom_site_fract_z
Ir1 0.000 0.000 0.000
Ir2 0.002 0.000 0.541
Ir3 0.354 0.000 0.694
Se1 0.141 0.500 0.113
Se2 0.211 0.500 0.711
Se3 0.394 0.000 0.286
```

Results
Formation energy from raw total energies, eV per atom: 0.203

=====

A plane-wave DFT calculation with PBE-GGA was carried out for crystalline IrSe at its relaxed geometry.

```
data_IrSe
_chemical_formula_sum 'Ir8 Se8'
_space_group_name_H-M_alt 'P 4/m'
_space_group_IT_number 83
_cell_length_a 9.468
_cell_length_b 9.468
_cell_length_c 3.695
_cell_angle_alpha 90.00
_cell_angle_beta 90.00
_cell_angle_gamma 90.00
loop_
_space_group_symop_operation_xyz
'x,y,z'
'-x,-y,-z'
'-y,x,z'
'y,-x,-z'
'-x,-y,z'
'x,y,-z'
'y,-x,z'
'-y,x,-z'
loop_
_atom_site_label
_atom_site_fract_x
_atom_site_fract_y
_atom_site_fract_z
Ir1 0.084 0.625 0.000
Ir2 0.121 0.403 0.500
Se1 0.148 0.791 0.500
Se2 0.276 0.459 0.000
```

Results
Formation energy from raw total energies, eV per atom: -0.020

=====

A plane-wave DFT calculation with PBE-GGA was carried out for crystalline IrSe at its relaxed geometry.

```
data_IrSe
_chemical_formula_sum 'Ir6 Se6'
_space_group_name_H-M_alt 'P m n 21'
_space_group_IT_number 31
_cell_length_a 10.927
_cell_length_b 4.140
_cell_length_c 5.089
_cell_angle_alpha 90.00
_cell_angle_beta 90.00
_cell_angle_gamma 90.00
loop_
_space_group_symop_operation_xyz
'x,y,z'
'-x+1/2,-y,z+1/2'
'-x,y,z'
'x+1/2,-y,z+1/2'
loop_
_atom_site_label
_atom_site_fract_x
_atom_site_fract_y
_atom_site_fract_z
Ir1 0.000 0.195 0.000
Ir2 0.202 0.395 0.718
Se1 0.000 0.689 0.762
Se2 0.172 0.119 0.294
```

Results
Formation energy from raw total energies, eV per atom: 0.051

=====

A plane-wave DFT calculation with PBE-GGA was carried out for crystalline IrSe at its relaxed geometry.

```
data_IrSe
_chemical_formula_sum 'Ir6 Se6'
_space_group_name_H-M_alt 'P -3 m 1'
_space_group_IT_number 164
_space_group_name_Hall '-P 3 2"'
_cell_length_a 3.7363
_cell_length_b 3.7363
_cell_length_c 21.6537
_cell_angle_alpha 90.00
_cell_angle_beta 90.00
_cell_angle_gamma 120.00
loop_
_atom_site_label
_atom_site_fract_x
_atom_site_fract_y
_atom_site_fract_z
Ir1 0.0000 0.0000 0.2082
Ir2 0.3333 0.6667 0.1213
Ir3 0.3333 0.6667 0.4566
Se1 0.0000 0.0000 0.4102
Se2 0.3333 0.6667 0.7449
Se3 0.3333 0.6667 0.9248
```

Results
Formation energy from raw total energies, eV per atom: 0.060

=====

A plane-wave DFT calculation with PBE-GGA was carried out for crystalline IrSe at its relaxed geometry.

```
data_IrSe
_chemical_formula_sum 'Ir2 Se2'
_space_group_name_H-M_alt 'P -3 m 1'
_space_group_IT_number 164
_space_group_name_Hall '-P 3 2"'
_cell_length_a 3.4511
_cell_length_b 3.4511
_cell_length_c 8.2007
_cell_angle_alpha 90.00
_cell_angle_beta 90.00
_cell_angle_gamma 120.00
loop_
_atom_site_label
_atom_site_fract_x
_atom_site_fract_y
_atom_site_fract_z
Ir1 0.3333 0.6667 0.1221
Se1 0.3333 0.6667 0.7131
```

Results
Formation energy from raw total energies, eV per atom: 0.006

=====

DOS(E_F) (computed, states/eV per cell): 3.0, 8.8, 6.8, 5.4, 7.5, 6.0, 10.0, 1.2